{
  "formula": "Cd2Co2Ni",
  "functional": "PBE",
  "state": "optimized geometry",
  "spacegroup": "P4/mbm, No. 127",
  "formation_enthalpy_0k_kj_per_mol_atoms": 28.9,
  "lattice": [[6.017, 0.000, 0.000], [0.000, 6.017, 0.000], [0.000, 0.000, 4.235]],
  "species": ["Co", "Co", "Co", "Co", "Ni", "Ni", "Cd", "Cd", "Cd", "Cd"],
  "frac_coords": [[0.629, 0.129, 0.000], [0.129, 0.371, 0.000], [0.371, 0.871, 0.000], [0.871, 0.629, 0.000], [0.500, 0.500, 0.000], [0.000, 0.000, 0.000], [0.178, 0.678, 0.500], [0.322, 0.178, 0.500], [0.822, 0.322, 0.500], [0.678, 0.822, 0.500]]
}

***

{
  "formula": "TlPb2F11",
  "functional": "PBE",
  "state": "optimized geometry",
  "spacegroup": "Ibam, No. 72",
  "formation_energy_uncorrected_mev_per_atom": -1795,
  "lattice": [[7.149, 0.000, 3.726], [3.322, 7.356, 2.348], [0.165, -0.150, 8.403]],
  "species": ["F", "F", "F", "F", "F", "F", "F", "F", "F", "F", "F", "F", "F", "F", "F", "F", "F", "F", "F", "F", "F", "F", "Tl", "Tl", "Pb", "Pb", "Pb", "Pb"],
  "frac_coords": [[0.954, 0.837, 0.465], [0.000, 0.000, 0.000], [0.256, 0.535, 0.163], [0.592, 0.197, 0.071], [0.244, 0.337, 0.965], [0.123, 0.213, 0.787], [0.641, 0.697, 0.571], [0.546, 0.035, 0.663], [0.377, 0.713, 0.287], [0.859, 0.929, 0.803], [0.408, 0.803, 0.929], [0.623, 0.287, 0.713], [0.877, 0.787, 0.213], [0.500, 0.500, 0.500], [0.141, 0.071, 0.197], [0.092, 0.571, 0.697], [0.908, 0.429, 0.303], [0.744, 0.465, 0.837], [0.756, 0.663, 0.035], [0.454, 0.965, 0.337], [0.046, 0.163, 0.535], [0.359, 0.303, 0.429], [0.250, 0.250, 0.250], [0.750, 0.750, 0.750], [0.646, 0.682, 0.318], [0.354, 0.318, 0.682], [0.854, 0.182, 0.818], [0.146, 0.818, 0.182]]
}

***

{
  "formula": "Y3SbW",
  "functional": "PBE",
  "state": "optimized geometry",
  "relative_energy_mev_per_atom": 0.0,
  "spacegroup": "Pm-3m, No. 221",
  "formation_energy_uncorrected_mev_per_atom": 356,
  "lattice": [[5.366, 0.000, 0.000], [0.000, 5.366, 0.000], [0.000, 0.000, 5.366]],
  "species": ["Y", "Y", "Y", "W", "Sb"],
  "frac_coords": [[0.500, 0.000, 0.000], [0.000, 0.500, 0.000], [0.000, 0.000, 0.500], [0.000, 0.000, 0.000], [0.500, 0.500, 0.500]]
}

***

{
  "formula": "AcSm2F8",
  "functional": "PBE",
  "state": "optimized geometry",
  "spacegroup": "C2/m, No. 12",
  "formation_energy_uncorrected_mev_per_atom": -3876,
  "lattice": [[-2.777, -1.060, 3.177], [5.582, -0.832, 3.196], [-1.610, 6.241, -0.732]],
  "species": ["F", "F", "F", "F", "F", "F", "F", "F", "Sm", "Sm", "Ac"],
  "frac_coords": [[0.699, 0.375, 0.375], [0.500, 0.238, 0.762], [0.301, 0.625, 0.625], [0.067, 0.058, 0.314], [0.067, 0.314, 0.058], [0.933, 0.942, 0.686], [0.500, 0.762, 0.238], [0.933, 0.686, 0.942], [0.000, 0.319, 0.681], [0.000, 0.681, 0.319], [0.500, 0.000, 0.000]]
}

***

{
  "formula": "Sr2LaP",
  "functional": "PBE",
  "state": "optimized geometry",
  "relative_energy_mev_per_atom": 388.6,
  "spacegroup": "P4/mmm, No. 123",
  "formation_enthalpy_0k_kj_per_mol_atoms": -17.0,
  "lattice": [[-4.053, 2.343, -1.325], [1.201, -0.569, -4.680], [-2.568, -4.506, -0.111]],
  "species": ["Sr", "Sr", "P", "La"],
  "frac_coords": [[0.000, 0.500, 0.000], [0.500, 0.000, 0.000], [0.000, 0.000, 0.500], [0.500, 0.500, 0.500]]
}